# YCoAsAu

A relaxed structure of YCoAsAu (PBE-GGA, OQMD).

a b c (Å): 4.713 4.713 4.713
angles (deg): 60.00 60.00 60.00
Sites, in units of the cell vectors:
Y 0.000 0.000 0.000
Co 0.750 0.750 0.750
As 0.500 0.500 0.500
Au 0.250 0.250 0.250

SG: F-43m
Energy above the most stable polymorph in this dataset (eV/f.u.): 0.62

# TbHoEr

A relaxed structure of TbHoEr (PBE-GGA, OQMD).

a b c (Å): 5.376 5.376 5.376
angles (deg): 60.00 60.00 60.00
Sites, in units of the cell vectors:
Tb 0.000 0.000 0.000
Ho 0.500 0.500 0.500
Er 0.750 0.750 0.750

SG: F-43m
ΔH_f (0 K) (eV per atom): 0.721
Energy above the most stable polymorph in this dataset (eV/f.u.): 0.00

# GdCdAgS3

A relaxed structure of GdCdAgS3 (PBE-GGA, OQMD).

a b c (Å): 7.459 3.953 9.123
angles (deg): 90.00 101.31 90.00
Sites, in units of the cell vectors:
Gd 0.196 0.250 0.168
Gd 0.804 0.750 0.832
Cd 0.248 0.750 0.715
Cd 0.752 0.250 0.285
Ag 0.380 0.750 0.433
Ag 0.620 0.250 0.567
S 0.084 0.250 0.856
S 0.188 0.250 0.478
S 0.448 0.750 0.171
S 0.552 0.250 0.829
S 0.812 0.750 0.522
S 0.916 0.750 0.144

SG: P2_1/m

# TaCoAsAu

A relaxed structure of TaCoAsAu (PBE-GGA, OQMD).

a b c (Å): 4.461 4.461 4.461
angles (deg): 60.00 60.00 60.00
Sites, in units of the cell vectors:
Ta 0.000 0.000 0.000
Co 0.500 0.500 0.500
As 0.250 0.250 0.250
Au 0.750 0.750 0.750

SG: F-43m
Energy above the most stable polymorph in this dataset (eV/f.u.): 0.00

# InSiOs

A relaxed structure of InSiOs (PBE-GGA, OQMD).

a b c (Å): 4.301 4.301 4.301
angles (deg): 60.00 60.00 60.00
Sites, in units of the cell vectors:
In 0.000 0.000 0.000
Si 0.500 0.500 0.500
Os 0.250 0.250 0.250

SG: F-43m

# ZrZnNO

A relaxed structure of ZrZnNO (PBE-GGA, OQMD).

a b c (Å): 3.207 3.207 4.452
angles (deg): 90.00 90.00 90.00
Sites, in units of the cell vectors:
Zr 0.000 0.000 0.000
Zn 0.500 0.500 0.500
N 0.500 0.500 0.000
O 0.000 0.000 0.500

SG: P4/mmm
Energy above the most stable polymorph in this dataset (eV/f.u.): 0.15

# YFe2Co

A relaxed structure of YFe2Co (PBE-GGA, OQMD).

a b c (Å): 8.617 8.617 8.617
angles (deg): 34.12 34.12 34.12
Sites, in units of the cell vectors:
Y 0.000 0.000 0.000
Y 0.142 0.142 0.142
Y 0.858 0.858 0.858
Fe 0.082 0.581 0.581
Fe 0.419 0.419 0.918
Fe 0.419 0.918 0.419
Fe 0.581 0.082 0.581
Fe 0.581 0.581 0.082
Fe 0.918 0.419 0.419
Co 0.332 0.332 0.332
Co 0.500 0.500 0.500
Co 0.668 0.668 0.668

SG: R-3m
ΔH_f (0 K) (eV per atom): -0.106

# CoMo2N

A relaxed structure of CoMo2N (PBE-GGA, OQMD).

a b c (Å): 4.935 4.935 13.995
angles (deg): 100.75 100.75 60.07
Sites, in units of the cell vectors:
Co 0.080 0.419 0.751
Co 0.081 0.919 0.750
Co 0.419 0.080 0.251
Co 0.581 0.920 0.749
Co 0.919 0.081 0.250
Co 0.920 0.581 0.249
Mo 0.030 0.195 0.089
Mo 0.141 0.307 0.411
Mo 0.195 0.030 0.589
Mo 0.307 0.141 0.911
Mo 0.384 0.549 0.161
Mo 0.451 0.616 0.339
Mo 0.549 0.384 0.661
Mo 0.616 0.451 0.839
Mo 0.693 0.859 0.089
Mo 0.805 0.970 0.411
Mo 0.859 0.693 0.589
Mo 0.970 0.805 0.911
N 0.000 0.500 0.000
N 0.185 0.657 0.504
N 0.343 0.815 0.996
N 0.500 0.000 0.500
N 0.657 0.185 0.004
N 0.815 0.343 0.496

SG: C2/c
Energy above the most stable polymorph in this dataset (eV/f.u.): 0.00

# UAgPt4

A relaxed structure of UAgPt4 (PBE-GGA, OQMD).

a b c (Å): 5.332 5.332 5.332
angles (deg): 60.00 60.00 60.00
Sites, in units of the cell vectors:
U 0.000 0.000 0.000
Ag 0.750 0.750 0.750
Pt 0.375 0.375 0.375
Pt 0.375 0.375 0.874
Pt 0.375 0.874 0.375
Pt 0.874 0.375 0.375

SG: F-43m
ΔH_f (0 K) (eV per atom): -0.541

# ZrCoSbPt

A relaxed structure of ZrCoSbPt (PBE-GGA, OQMD).

a b c (Å): 4.621 4.621 4.621
angles (deg): 60.00 60.00 60.00
Sites, in units of the cell vectors:
Zr 0.000 0.000 0.000
Co 0.500 0.500 0.500
Sb 0.250 0.250 0.250
Pt 0.750 0.750 0.750

SG: F-43m
Energy above the most stable polymorph in this dataset (eV/f.u.): 0.33

# Co3As2

A relaxed structure of Co3As2 (PBE-GGA, OQMD).

a b c (Å): 5.436 5.436 5.436
angles (deg): 68.57 68.57 68.57
Sites, in units of the cell vectors:
Co 0.022 0.750 0.478
Co 0.250 0.522 0.978
Co 0.478 0.022 0.750
Co 0.522 0.978 0.250
Co 0.750 0.478 0.022
Co 0.978 0.250 0.522
As 0.116 0.116 0.116
As 0.384 0.384 0.384
As 0.616 0.616 0.616
As 0.884 0.884 0.884

SG: R-3c

# NbTePO

A relaxed structure of NbTePO (PBE-GGA, OQMD).

a b c (Å): 3.512 7.385 7.250
angles (deg): 90.00 90.00 90.00
Sites, in units of the cell vectors:
Nb 0.000 0.050 0.000
Nb 0.000 0.950 0.500
Te 0.500 0.266 0.574
Te 0.500 0.734 0.074
P 0.500 0.280 0.917
P 0.500 0.720 0.417
O 0.000 0.090 0.256
O 0.000 0.910 0.756

SG: Pmc2_1
Energy above the most stable polymorph in this dataset (eV/f.u.): 0.00

Number 1: total energy -5.526 eV per atom. Number 2: total energy -3.869 eV per atom. Number 3: total energy -4.388 eV per atom. Number 4: total energy -6.586 eV per atom. Number 5: total energy -6.142 eV per atom. Number 6: total energy -7.110 eV per atom. Number 7: total energy -7.654 eV per atom. Number 8: total energy -9.318 eV per atom. Number 9: total energy -6.932 eV per atom. Number 10: total energy -6.728 eV per atom. Number 11: total energy -6.128 eV per atom. Number 12: total energy -6.749 eV per atom.